Record 1
Density functional theory data (GGA-PBE) for Ba2BeNiBr after structural relaxation.

Cell: 5.9750 5.9750 4.2300 Å, 90.00 90.00 90.00°
With the nearest neighbours (Å) after each atom.
Space group P4/mmm (No. 123)
One atom of each set of equivalent atoms:
1 Ba 0.0000 0.5000 0.0000 (multiplicity 2)  2 Ni 2.99
2 Be 0.0000 0.0000 0.5000 (multiplicity 1)  2 Ni 2.12
3 Ni 0.0000 0.0000 0.0000 (multiplicity 1)  2 Be 2.12
4 Br 0.5000 0.5000 0.5000 (multiplicity 1)  8 Ba 3.66

Computed properties:
Formation energy from raw total energies (eV/atom): -0.465

***

Record 2
Density functional theory data (GGA-PBE) for BaBeRh2Br after structural relaxation.

Cell: 4.3461 4.3461 6.3730 Å, 90.00 90.00 90.00°
With the nearest neighbours (Å) after each atom.
Space group P4/mmm (No. 123)
One atom of each set of equivalent atoms:
1 Ba 0.0000 0.0000 0.0000 (multiplicity 1)  4 Br 3.07, 2 Be 3.19
2 Be 0.0000 0.0000 0.5000 (multiplicity 1)  4 Rh 2.17
3 Rh 0.0000 0.5000 0.5000 (multiplicity 2)  2 Be 2.17
4 Br 0.5000 0.5000 0.0000 (multiplicity 1)  4 Ba 3.07

Computed properties:
Formation energy from raw total energies (eV/atom): -0.037

***

Number 1: magnetization 0.00 μB per formula unit, density of states at the Fermi level 0.469 states/eV per atom. Number 2: magnetization 1.05 μB per formula unit, density of states at the Fermi level 0.759 states/eV per atom.